--- 1 ---
# Pr2Nd3Sn4 PBE relaxed
data_Pr2Nd3Sn4
_cell_length_a 8.553
_cell_length_b 8.580
_cell_length_c 8.220
_cell_angle_alpha 90.00
_cell_angle_beta 110.15
_cell_angle_gamma 90.00
_space_group_name_H-M_alt 'P 1 21/c 1'
_space_group_IT_number 14
loop_
_space_group_symop_operation_xyz
'x,y,z'
'-x,-y,-z'
'-x,y+1/2,-z+1/2'
'x,-y+1/2,z+1/2'
loop_
_atom_site_label
_atom_site_type_symbol
_atom_site_fract_x
_atom_site_fract_y
_atom_site_fract_z
Pr1 Pr 0.194 0.181 0.067
Nd1 Nd 0.245 0.671 0.240
Nd2 Nd 0.500 0.000 0.500
Sn1 Sn 0.081 0.536 0.840
Sn2 Sn 0.485 0.133 0.867
# * D(E_F): 8.40 states/eV/f.u.
# * calculated volume: 566.3 Å³/cell

=====

--- 2 ---
# Pr2Nd3Sn4 PBE relaxed
data_Pr2Nd3Sn4
_cell_length_a 7.188
_cell_length_b 17.595
_cell_length_c 9.189
_cell_angle_alpha 90.00
_cell_angle_beta 90.00
_cell_angle_gamma 90.00
_space_group_name_H-M_alt 'C m c e'
_space_group_IT_number 64
_space_group_name_Hall '-C 2ac 2'
loop_
_atom_site_label
_atom_site_type_symbol
_atom_site_fract_x
_atom_site_fract_y
_atom_site_fract_z
Pr1 Pr 0.000 0.110 0.090
Nd1 Nd 0.000 0.000 0.500
Nd2 Nd 0.250 0.206 0.750
Sn1 Sn 0.000 0.184 0.442
Sn2 Sn 0.250 0.029 0.750
# * D(E_F): 6.18 states/eV/f.u.
# * calculated volume: 1162.2 Å³/cell

=====

The most stable of them is 1.

=====

--- 1 ---
# PrNd2Sn2 PBE relaxed
data_PrNd2Sn2
_cell_length_a 5.2373
_cell_length_b 5.2373
_cell_length_c 13.2619
_cell_angle_alpha 90.00
_cell_angle_beta 90.00
_cell_angle_gamma 120.00
_space_group_name_H-M_alt 'P 63/m m c'
_space_group_IT_number 194
_space_group_name_Hall '-P 6c 2c'
loop_
_atom_site_label
_atom_site_type_symbol
_atom_site_fract_x
_atom_site_fract_y
_atom_site_fract_z
Pr1 Pr 0.0000 0.0000 0.2500
Nd1 Nd 0.0000 0.0000 0.0000
Nd2 Nd 0.3333 0.6667 0.2500
Sn1 Sn 0.3333 0.6667 0.6286
# * D(E_F): 5.31 states/eV/f.u.
# * calculated volume: 315.0 Å³/cell

=====

--- 2 ---
# PrNd2Sn2 PBE relaxed
data_PrNd2Sn2
_cell_length_a 5.3818
_cell_length_b 5.3818
_cell_length_c 18.1339
_cell_angle_alpha 90.00
_cell_angle_beta 90.00
_cell_angle_gamma 120.00
_space_group_name_H-M_alt 'R -3 m'
_space_group_IT_number 166
_space_group_name_Hall '-R 3 2"'
loop_
_atom_site_label
_atom_site_type_symbol
_atom_site_fract_x
_atom_site_fract_y
_atom_site_fract_z
Pr1 Pr 0.0000 0.0000 0.0000
Nd1 Nd 0.0000 0.0000 0.2093
Sn1 Sn 0.0000 0.0000 0.4107
# * D(E_F): 3.54 states/eV/f.u.
# * calculated volume: 454.9 Å³/cell

=====

The most stable of them is 2.

=====

--- 1 ---
# Pr4NdSn3 PBE relaxed
data_Pr4NdSn3
_cell_length_a 11.980
_cell_length_b 4.827
_cell_length_c 9.659
_cell_angle_alpha 90.00
_cell_angle_beta 110.18
_cell_angle_gamma 90.00
_space_group_name_H-M_alt 'C 1 2/m 1'
_space_group_IT_number 12
loop_
_space_group_symop_operation_xyz
'x,y,z'
'-x,-y,-z'
'-x,y,-z'
'x,-y,z'
'x+1/2,y+1/2,z'
'-x+1/2,-y+1/2,-z'
'-x+1/2,y+1/2,-z'
'x+1/2,-y+1/2,z'
loop_
_atom_site_label
_atom_site_type_symbol
_atom_site_fract_x
_atom_site_fract_y
_atom_site_fract_z
Pr1 Pr 0.140 0.000 0.429
Pr2 Pr 0.157 0.500 0.838
Nd1 Nd 0.000 0.000 0.000
Sn1 Sn 0.000 0.500 0.500
Sn2 Sn 0.165 0.500 0.201
# * D(E_F): 6.58 states/eV/f.u.
# * calculated volume: 524.3 Å³/cell

=====

--- 2 ---
# Pr4NdSn3 PBE relaxed
data_Pr4NdSn3
_cell_length_a 12.648
_cell_length_b 12.648
_cell_length_c 6.272
_cell_angle_alpha 90.00
_cell_angle_beta 90.00
_cell_angle_gamma 90.00
_space_group_name_H-M_alt 'I 4/m c m'
_space_group_IT_number 140
_space_group_name_Hall '-I 4 2c'
loop_
_atom_site_label
_atom_site_type_symbol
_atom_site_fract_x
_atom_site_fract_y
_atom_site_fract_z
Pr1 Pr 0.083 0.218 0.000
Nd1 Nd 0.000 0.500 0.250
Sn1 Sn 0.000 0.000 0.250
Sn2 Sn 0.160 0.340 0.500
# * D(E_F): 9.43 states/eV/f.u.
# * calculated volume: 1003.3 Å³/cell

=====

The most stable of them is 2.

=====

--- 1 ---
# Tb4PrNd3 PBE relaxed
data_Tb4PrNd3
_cell_length_a 3.483
_cell_length_b 11.771
_cell_length_c 13.241
_cell_angle_alpha 90.00
_cell_angle_beta 90.00
_cell_angle_gamma 90.00
_space_group_name_H-M_alt 'I m m m'
_space_group_IT_number 71
_space_group_name_Hall '-I 2 2'
loop_
_atom_site_label
_atom_site_type_symbol
_atom_site_fract_x
_atom_site_fract_y
_atom_site_fract_z
Tb1 Tb 0.000 0.250 0.135
Pr1 Pr 0.000 0.000 0.000
Nd1 Nd 0.000 0.000 0.500
Nd2 Nd 0.000 0.500 0.259
# * D(E_F): 12.56 states/eV/f.u.
# * calculated volume: 542.9 Å³/cell

=====

--- 2 ---
# Tb4PrNd3 PBE relaxed
data_Tb4PrNd3
_cell_length_a 11.690
_cell_length_b 7.348
_cell_length_c 6.337
_cell_angle_alpha 90.00
_cell_angle_beta 90.00
_cell_angle_gamma 90.00
_space_group_name_H-M_alt 'P m n 21'
_space_group_IT_number 31
loop_
_space_group_symop_operation_xyz
'x,y,z'
'-x+1/2,-y,z+1/2'
'-x,y,z'
'x+1/2,-y,z+1/2'
loop_
_atom_site_label
_atom_site_type_symbol
_atom_site_fract_x
_atom_site_fract_y
_atom_site_fract_z
Tb1 Tb 0.000 0.122 0.000
Tb2 Tb 0.000 0.878 0.500
Tb3 Tb 0.250 0.122 0.333
Pr1 Pr 0.000 0.373 0.499
Nd1 Nd 0.000 0.628 0.998
Nd2 Nd 0.250 0.372 0.834
# * D(E_F): 14.30 states/eV/f.u.
# * calculated volume: 544.4 Å³/cell

=====

The most stable of them is 2.

=====

--- 1 ---
# Tb7Pr3Nd PBE relaxed
data_Tb7Pr3Nd
_cell_length_a 7.1406
_cell_length_b 7.1406
_cell_length_c 8.7862
_cell_angle_alpha 90.00
_cell_angle_beta 90.00
_cell_angle_gamma 120.00
_space_group_name_H-M_alt 'P 3 m 1'
_space_group_IT_number 156
loop_
_space_group_symop_operation_xyz
'x,y,z'
'-y,x-y,z'
'-x+y,-x,z'
'-y,-x,z'
'-x+y,y,z'
'x,x-y,z'
loop_
_atom_site_label
_atom_site_type_symbol
_atom_site_fract_x
_atom_site_fract_y
_atom_site_fract_z
Tb1 Tb 0.0000 0.0000 0.0000
Tb2 Tb 0.1658 0.3316 0.3216
Tb3 Tb 0.5005 0.0010 0.9964
Pr1 Pr 0.3327 0.1663 0.6606
Nd1 Nd 0.6667 0.3333 0.3198
# * D(E_F): 17.14 states/eV/f.u.
# * calculated volume: 388.0 Å³/cell

=====

--- 2 ---
# Tb7Pr3Nd PBE relaxed
data_Tb7Pr3Nd
_cell_length_a 11.736
_cell_length_b 10.134
_cell_length_c 6.448
_cell_angle_alpha 90.00
_cell_angle_beta 94.87
_cell_angle_gamma 90.00
_space_group_name_H-M_alt 'C 1 2/m 1'
_space_group_IT_number 12
loop_
_space_group_symop_operation_xyz
'x,y,z'
'-x,-y,-z'
'-x,y,-z'
'x,-y,z'
'x+1/2,y+1/2,z'
'-x+1/2,-y+1/2,-z'
'-x+1/2,y+1/2,-z'
'x+1/2,-y+1/2,z'
loop_
_atom_site_label
_atom_site_type_symbol
_atom_site_fract_x
_atom_site_fract_y
_atom_site_fract_z
Tb1 Tb 0.000 0.000 0.000
Tb2 Tb 0.239 0.500 0.209
Tb3 Tb 0.244 0.171 0.262
Pr1 Pr 0.000 0.324 0.000
Pr2 Pr 0.000 0.500 0.500
Nd1 Nd 0.000 0.000 0.500
# * D(E_F): 15.68 states/eV/f.u.
# * calculated volume: 764.1 Å³/cell

=====

The most stable of them is 1.

=====

--- 1 ---
# Tb5PrNd4 PBE relaxed
data_Tb5PrNd4
_cell_length_a 28.670
_cell_length_b 3.482
_cell_length_c 6.879
_cell_angle_alpha 90.00
_cell_angle_beta 97.21
_cell_angle_gamma 90.00
_space_group_name_H-M_alt 'C 1 2/m 1'
_space_group_IT_number 12
loop_
_space_group_symop_operation_xyz
'x,y,z'
'-x,-y,-z'
'-x,y,-z'
'x,-y,z'
'x+1/2,y+1/2,z'
'-x+1/2,-y+1/2,-z'
'-x+1/2,y+1/2,-z'
'x+1/2,-y+1/2,z'
loop_
_atom_site_label
_atom_site_type_symbol
_atom_site_fract_x
_atom_site_fract_y
_atom_site_fract_z
Tb1 Tb 0.000 0.000 0.000
Tb2 Tb 0.204 0.500 0.103
Tb3 Tb 0.207 0.500 0.602
Pr1 Pr 0.000 0.000 0.500
Nd1 Nd 0.096 0.500 0.803
Nd2 Nd 0.109 0.000 0.303
# * D(E_F): 17.09 states/eV/f.u.
# * calculated volume: 681.4 Å³/cell

=====

--- 2 ---
# Tb5PrNd4 PBE relaxed
data_Tb5PrNd4
_cell_length_a 10.610
_cell_length_b 10.610
_cell_length_c 6.147
_cell_angle_alpha 90.00
_cell_angle_beta 90.00
_cell_angle_gamma 90.00
_space_group_name_H-M_alt 'I 4 m m'
_space_group_IT_number 107
_space_group_name_Hall 'I 4 -2'
loop_
_atom_site_label
_atom_site_type_symbol
_atom_site_fract_x
_atom_site_fract_y
_atom_site_fract_z
Tb1 Tb 0.000 0.000 0.000
Tb2 Tb 0.189 0.189 0.258
Pr1 Pr 0.000 0.000 0.531
Nd1 Nd 0.000 0.327 0.798
# * D(E_F): 13.70 states/eV/f.u.
# * calculated volume: 692.0 Å³/cell

=====

The most stable of them is 1.

=====

--- 1 ---
# Tb2Pr5Nd PBE relaxed
data_Tb2Pr5Nd
_cell_length_a 16.977
_cell_length_b 10.189
_cell_length_c 6.641
_cell_angle_alpha 90.00
_cell_angle_beta 99.39
_cell_angle_gamma 90.00
_space_group_name_H-M_alt 'C 1 2/c 1'
_space_group_IT_number 15
loop_
_space_group_symop_operation_xyz
'x,y,z'
'-x,-y,-z'
'-x,y,-z+1/2'
'x,-y,z+1/2'
'x+1/2,y+1/2,z'
'-x+1/2,-y+1/2,-z'
'-x+1/2,y+1/2,-z+1/2'
'x+1/2,-y+1/2,z+1/2'
loop_
_atom_site_label
_atom_site_type_symbol
_atom_site_fract_x
_atom_site_fract_y
_atom_site_fract_z
Tb1 Tb 0.079 0.245 0.133
Pr1 Pr 0.000 0.443 0.750
Pr2 Pr 0.095 0.094 0.645
Pr3 Pr 0.203 0.413 0.520
Nd1 Nd 0.250 0.250 0.000
# * D(E_F): 13.17 states/eV/f.u.
# * calculated volume: 1133.3 Å³/cell

=====

--- 2 ---
# Tb2Pr5Nd PBE relaxed
data_Tb2Pr5Nd
_cell_length_a 7.338
_cell_length_b 14.677
_cell_length_c 5.191
_cell_angle_alpha 90.00
_cell_angle_beta 90.00
_cell_angle_gamma 90.00
_space_group_name_H-M_alt 'P b a m'
_space_group_IT_number 55
loop_
_space_group_symop_operation_xyz
'x,y,z'
'-x,-y,-z'
'-x,-y,z'
'x,y,-z'
'x+1/2,-y+1/2,-z'
'-x+1/2,y+1/2,z'
'-x+1/2,y+1/2,-z'
'x+1/2,-y+1/2,z'
loop_
_atom_site_label
_atom_site_type_symbol
_atom_site_fract_x
_atom_site_fract_y
_atom_site_fract_z
Tb1 Tb 0.250 0.125 0.000
Pr1 Pr 0.000 0.000 0.500
Pr2 Pr 0.000 0.250 0.500
Pr3 Pr 0.250 0.375 0.000
Nd1 Nd 0.000 0.500 0.500
# * D(E_F): 11.84 states/eV/f.u.
# * calculated volume: 559.1 Å³/cell

=====

The most stable of them is 2.

=====

--- 1 ---
# Tb4Pr7Nd PBE relaxed
data_Tb4Pr7Nd
_cell_length_a 6.395
_cell_length_b 7.382
_cell_length_c 9.099
_cell_angle_alpha 89.99
_cell_angle_beta 76.48
_cell_angle_gamma 89.99
_space_group_name_H-M_alt 'P -1'
_space_group_IT_number 2
loop_
_space_group_symop_operation_xyz
'x,y,z'
'-x,-y,-z'
loop_
_atom_site_label
_atom_site_type_symbol
_atom_site_fract_x
_atom_site_fract_y
_atom_site_fract_z
Tb1 Tb 0.220 0.000 0.335
Tb2 Tb 0.277 0.246 0.667
Pr1 Pr 0.000 0.000 0.000
Pr2 Pr 0.223 0.500 0.334
Pr3 Pr 0.280 0.752 0.665
Pr4 Pr 0.500 0.247 0.998
Nd1 Nd 0.000 0.500 0.000
# * D(E_F): 15.82 states/eV/f.u.
# * calculated volume: 417.6 Å³/cell

=====

--- 2 ---
# Tb4Pr7Nd PBE relaxed
data_Tb4Pr7Nd
_cell_length_a 16.336
_cell_length_b 6.092
_cell_length_c 9.550
_cell_angle_alpha 90.00
_cell_angle_beta 116.56
_cell_angle_gamma 90.00
_space_group_name_H-M_alt 'C 1 2/m 1'
_space_group_IT_number 12
loop_
_space_group_symop_operation_xyz
'x,y,z'
'-x,-y,-z'
'-x,y,-z'
'x,-y,z'
'x+1/2,y+1/2,z'
'-x+1/2,-y+1/2,-z'
'-x+1/2,y+1/2,-z'
'x+1/2,-y+1/2,z'
loop_
_atom_site_label
_atom_site_type_symbol
_atom_site_fract_x
_atom_site_fract_y
_atom_site_fract_z
Tb1 Tb 0.071 0.000 0.197
Tb2 Tb 0.170 0.000 0.884
Pr1 Pr 0.000 0.000 0.500
Pr2 Pr 0.086 0.500 0.949
Pr3 Pr 0.212 0.500 0.736
Pr4 Pr 0.213 0.500 0.383
Nd1 Nd 0.000 0.500 0.500
# * D(E_F): 20.33 states/eV/f.u.
# * calculated volume: 850.1 Å³/cell

=====

The most stable of them is 1.

=====

--- 1 ---
# Tb5Pr2Nd PBE relaxed
data_Tb5Pr2Nd
_cell_length_a 7.224
_cell_length_b 14.452
_cell_length_c 5.115
_cell_angle_alpha 90.00
_cell_angle_beta 90.00
_cell_angle_gamma 90.00
_space_group_name_H-M_alt 'P b a m'
_space_group_IT_number 55
loop_
_space_group_symop_operation_xyz
'x,y,z'
'-x,-y,-z'
'-x,-y,z'
'x,y,-z'
'x+1/2,-y+1/2,-z'
'-x+1/2,y+1/2,z'
'-x+1/2,y+1/2,-z'
'x+1/2,-y+1/2,z'
loop_
_atom_site_label
_atom_site_type_symbol
_atom_site_fract_x
_atom_site_fract_y
_atom_site_fract_z
Tb1 Tb 0.000 0.000 0.000
Tb2 Tb 0.001 0.249 0.000
Tb3 Tb 0.249 0.626 0.500
Pr1 Pr 0.248 0.874 0.500
Nd1 Nd 0.000 0.500 0.000
# * D(E_F): 11.49 states/eV/f.u.
# * calculated volume: 534.0 Å³/cell

=====

--- 2 ---
# Tb5Pr2Nd PBE relaxed
data_Tb5Pr2Nd
_cell_length_a 16.473
_cell_length_b 10.029
_cell_length_c 6.573
_cell_angle_alpha 90.00
_cell_angle_beta 98.24
_cell_angle_gamma 90.00
_space_group_name_H-M_alt 'C 1 2/c 1'
_space_group_IT_number 15
loop_
_space_group_symop_operation_xyz
'x,y,z'
'-x,-y,-z'
'-x,y,-z+1/2'
'x,-y,z+1/2'
'x+1/2,y+1/2,z'
'-x+1/2,-y+1/2,-z'
'-x+1/2,y+1/2,-z+1/2'
'x+1/2,-y+1/2,z+1/2'
loop_
_atom_site_label
_atom_site_type_symbol
_atom_site_fract_x
_atom_site_fract_y
_atom_site_fract_z
Tb1 Tb 0.000 0.059 0.250
Tb2 Tb 0.099 0.413 0.145
Tb3 Tb 0.198 0.090 0.024
Pr1 Pr 0.078 0.253 0.615
Nd1 Nd 0.250 0.250 0.500
# * D(E_F): 11.95 states/eV/f.u.
# * calculated volume: 1074.7 Å³/cell

=====

The most stable of them is 1.